Material: PuNp2Pd9
Method: DFT, GGA-PBE
State: relaxed

The structure in POSCAR format:
```
PuNp2Pd9
1.0
-2.283 -1.382 3.173
2.856 -2.898 0.793
5.858 7.865 7.642
Pu Np Pd
1 2 9
Cartesian
0.000 0.000 0.000
3.908 5.246 5.097
1.951 2.619 2.544
0.287 -2.140 1.983
2.246 0.490 4.538
4.186 3.095 7.069
-0.153 0.636 2.876
1.788 3.242 5.407
3.728 5.847 7.938
2.417 -0.122 1.686
4.357 2.483 4.217
6.298 5.088 6.749
```

Calculated values
SG = P4/mmm
DFT formation energy = -487 meV per atom
Total magnetization = 11.5 μB/f.u.